DFT (PBE-GGA) results for an optimized crystal structure of NbIn3Sn.

Output
The total energy comes out at -3.228 eV per atom. The value obtained for the total moment is 3.873 μB per formula unit. For the formation energy, the calculation gives 1.23 eV/atom. The calculation puts the energy above the most stable polymorph in this dataset at 636 meV per atom. The value obtained for the density is 5.4 g cm⁻³.

Cell: 5.552 5.552 5.552 Å, 90.00 90.00 90.00°
Fractional positions:
Sn  0.000  0.000  0.000
In  0.000  0.000  0.500
In  0.000  0.500  0.000
Nb  0.500  0.500  0.500
In  0.500  0.000  0.000